Entry 1:
A plane-wave DFT calculation with PBE-GGA was carried out for an optimized crystal structure of KMn2Br.

Summary:
- N(E_F) (states/eV/f.u.) = 3.13
- formation energy from raw total energies (eV per atom) = 0.710
- spin magnetization (μB/f.u.) = 9.3
- VASP energy (eV per atom) = -4.567

Unit cell a=3.6697 b=3.6697 c=8.4936 alpha=90.00 beta=90.00 gamma=90.00
With the nearest neighbours (Å) after each atom.
Fractional coordinates of all 4 atoms:
1 K 0.5000 0.5000 0.7500  4 K 3.67, 8 Mn 3.84
2 Mn 0.0000 0.0000 0.4162  1 Mn 2.82, 4 Br 2.95
3 Mn 0.0000 0.0000 0.0838  1 Mn 2.82, 4 Br 2.95
4 Br 0.5000 0.5000 0.2500  8 Mn 2.95


Entry 2:
A plane-wave DFT calculation with PBE-GGA was carried out for an optimized crystal structure of KMnBr3.

Summary:
- N(E_F) (states/eV/f.u.) = 0.00
- formation energy from raw total energies (eV per atom) = -1.145
- spin magnetization (μB/f.u.) = 5.0
- VASP energy (eV per atom) = -4.203

Unit cell a=9.1517 b=10.0995 c=8.7780 alpha=90.00 beta=90.00 gamma=116.91
With the nearest neighbours (Å) after each atom.
Fractional coordinates of all 20 atoms:
1 Br 0.8646 0.7272 0.7481  2 Mn 2.62
2 Br 0.3646 0.7272 0.7519  2 Mn 2.62
3 Br 0.2682 0.0353 0.4778  1 Mn 2.63
4 Br 0.6354 0.2728 0.2481  2 Mn 2.62
5 Br 0.4471 0.3937 0.6738  2 Mn 2.61-2.69
6 Br 0.7682 0.0353 0.0222  1 Mn 2.63
7 Br 0.0529 0.6063 0.1738  2 Mn 2.61-2.69
8 Br 0.2318 0.9647 0.9778  1 Mn 2.63
9 Br 0.7318 0.9647 0.5222  1 Mn 2.63
10 Br 0.1354 0.2728 0.2519  2 Mn 2.62
11 Br 0.5529 0.6063 0.3262  2 Mn 2.61-2.69
12 Br 0.9471 0.3937 0.8262  2 Mn 2.61-2.69
13 K 0.0561 0.1122 0.7494  7 Br 3.32-3.48
14 K 0.5561 0.1122 0.7506  7 Br 3.32-3.48
15 K 0.9439 0.8878 0.2506  7 Br 3.32-3.48
16 K 0.4439 0.8878 0.2494  7 Br 3.32-3.48
17 Mn 0.0931 0.6861 0.8883  5 Br 2.61-2.69
18 Mn 0.4069 0.3139 0.3883  5 Br 2.61-2.69
19 Mn 0.9069 0.3139 0.1117  5 Br 2.61-2.69
20 Mn 0.5931 0.6861 0.6117  5 Br 2.61-2.69


Entry 3:
A plane-wave DFT calculation with PBE-GGA was carried out for an optimized crystal structure of K3MnBr6.

Summary:
- N(E_F) (states/eV/f.u.) = 6.66
- formation energy from raw total energies (eV per atom) = -1.288
- spin magnetization (μB/f.u.) = 0.0
- VASP energy (eV per atom) = -3.538

Unit cell a=9.0784 b=9.0784 c=9.0784 alpha=90.64 beta=90.64 gamma=90.64
With the nearest neighbours (Å) after each atom.
Fractional coordinates of all 20 atoms:
1 K 0.9217 0.7544 0.4309  6 Br 3.27-3.36
2 K 0.2456 0.5691 0.0783  6 Br 3.27-3.36
3 K 0.7544 0.4309 0.9217  6 Br 3.27-3.36
4 K 0.0783 0.2456 0.5691  6 Br 3.27-3.36
5 K 0.5691 0.0783 0.2456  6 Br 3.27-3.36
6 K 0.4309 0.9217 0.7544  6 Br 3.27-3.36
7 Br 0.7335 0.0608 0.9201  1 Mn 2.59
8 Br 0.7747 0.4520 0.5599  1 Mn 2.59
9 Br 0.4401 0.2253 0.5480  1 Mn 2.59
10 Br 0.2253 0.5480 0.4401  1 Mn 2.59
11 Br 0.9201 0.7335 0.0608  1 Mn 2.59
12 Br 0.5599 0.7747 0.4520  1 Mn 2.59
13 Br 0.5480 0.4401 0.2253  1 Mn 2.59
14 Br 0.0608 0.9201 0.7335  1 Mn 2.59
15 Br 0.9392 0.0799 0.2665  1 Mn 2.59
16 Br 0.0799 0.2665 0.9392  1 Mn 2.59
17 Br 0.4520 0.5599 0.7747  1 Mn 2.59
18 Br 0.2665 0.9392 0.0799  1 Mn 2.59
19 Mn 0.0000 0.0000 0.0000  6 Br 2.59
20 Mn 0.5000 0.5000 0.5000  6 Br 2.59